Compound: Ho6TlSi2Te3
Source: Alexandria
Functional: PBE
Structure: relaxed

a = 9.6274 Å, b = 9.6274 Å, c = 8.7262 Å
α = 104.34°, β = 104.34°, γ = 25.24°
Element x y z (fractional)
Ho: 0.0101 0.0101 0.2567
Ho: 0.3250 0.3250 0.4360
Ho: 0.3311 0.3311 0.8912
Ho: 0.6689 0.6689 0.1088
Ho: 0.6750 0.6750 0.5640
Ho: 0.9899 0.9899 0.7433
Tl: 0.5000 0.5000 0.0000
Si: 0.1673 0.1673 0.3338
Si: 0.8327 0.8327 0.6662
Te: 0.1640 0.1640 0.8311
Te: 0.5000 0.5000 0.5000
Te: 0.8360 0.8360 0.1689

Its raw formation energy is -0.963 eV/atom. Its spin magnetization is 0.000 μB/f.u. The calculation puts the total DFT energy (no corrections) at -61.7 eV for the cell shown. Its space-group type is C2/m.